(1)
A geometry-optimized PmPr4Y2Sc structure, computed with GGA-PBE.

As for the volume: 267 Å³/cell. For the formation energy, the calculation gives 0.78 eV per formula unit. Its density is 5.78 Mg/m³. As for the total magnetic moment: 0.000 μB/f.u. The density of states at the Fermi level comes out at 13.85 states/eV/f.u.

It has space group Pmmm (No. 47), with a = 5.893 Å, b = 5.909 Å, c = 7.682 Å, α = 90.00°, β = 90.00° and γ = 90.00°. Symmetry generates all atoms from Pm at (0.000, 0.000, 0.000), Pr at (0.000, 0.500, 0.264), Pr at (0.500, 0.000, 0.263), Y at (0.000, 0.000, 0.500), Y at (0.500, 0.500, 0.000) and Sc at (0.500, 0.500, 0.500).



(2)
A geometry-optimized Pm2Pr6Y3Sc structure, computed with GGA-PBE.

As for the volume: 810 Å³/cell. For the formation energy, the calculation gives 0.26 eV per formula unit. Its density is 5.94 Mg/m³. As for the total magnetic moment: 0.000 μB/f.u. The density of states at the Fermi level comes out at 14.92 states/eV/f.u.

It has space group C2/m (No. 12), with a = 6.310 Å, b = 10.931 Å, c = 11.924 Å, α = 90.00°, β = 100.16° and γ = 90.00°. Symmetry generates all atoms from Pm at (0.000, 0.167, 0.000), Pr at (0.247, 0.335, 0.249), Pr at (0.247, 0.500, 0.751), Y at (0.000, 0.000, 0.500), Y at (0.000, 0.334, 0.500) and Sc at (0.000, 0.500, 0.000).



(3)
A geometry-optimized PmPr6Y2Sc structure, computed with GGA-PBE.

As for the volume: 698 Å³/cell. For the formation energy, the calculation gives 2.08 eV per formula unit. Its density is 5.77 Mg/m³. As for the total magnetic moment: 0.000 μB/f.u. The density of states at the Fermi level comes out at 13.61 states/eV/f.u.

It has space group C2/m (No. 12), with a = 10.373 Å, b = 7.580 Å, c = 9.063 Å, α = 90.00°, β = 101.42° and γ = 90.00°. Symmetry generates all atoms from Pm at (0.000, 0.000, 0.000), Pr at (0.130, 0.282, 0.779), Pr at (0.159, 0.000, 0.446), Y at (0.132, 0.500, 0.137) and Sc at (0.000, 0.500, 0.500).



(4)
A geometry-optimized Pm3PrYSc structure, computed with GGA-PBE.

As for the volume: 392 Å³/cell. For the formation energy, the calculation gives 0.26 eV per formula unit. Its density is 6.02 Mg/m³. As for the total magnetic moment: 0.000 μB/f.u. The density of states at the Fermi level comes out at 9.97 states/eV/f.u.

It has space group P2_1/m (No. 11), with a = 7.984 Å, b = 5.096 Å, c = 10.168 Å, α = 90.00°, β = 108.73° and γ = 90.00°. Symmetry generates all atoms from Pm at (0.169, 0.250, 0.045), Pm at (0.171, 0.750, 0.789), Pm at (0.177, 0.250, 0.542), Pr at (0.175, 0.750, 0.297), Y at (0.500, 0.250, 0.872) and Sc at (0.499, 0.250, 0.378).